Material: CoHN
Method: DFT, GGA-PBE
State: optimized geometry

Computed properties:
crystal system	monoclinic
total magnetic moment	0.7	Bohr magnetons per cell

abc: 2.6155 2.6153 3.9272
angles: 90.00 91.03 90.00
Last column: nearest neighbours and their distance in Å.
Fractional positions:
Co1 0.0000 0.0000 0.0000  4 N 1.92
H1 0.4885 0.5000 0.6002  1 N 1.04
N1 0.4963 0.5000 0.8653  1 H 1.04

***

Material: MnZnSe
Method: DFT, GGA-PBE
State: optimized geometry

Computed properties:
crystal system	cubic
total magnetic moment	3.8	Bohr magnetons per cell
formation energy from raw total energies	66	meV per atom

abc: 4.3203 4.3203 4.3203
angles: 60.00 60.00 60.00
Last column: nearest neighbours and their distance in Å.
Fractional positions:
Mn1 0.0000 0.0000 0.0000  4 Se 2.65, 4 Zn 2.65
Zn1 0.2500 0.2500 0.2500  4 Mn 2.65
Se1 0.7500 0.7500 0.7500  4 Mn 2.65

***

Number 1: density 4.6 g/cm³, raw total energy -6.04 eV/atom. Number 2: density 5.8 g/cm³, raw total energy -4.58 eV/atom.